Computed, not measured: TeAs3Rh after structural relaxation at the PBE level of DFT.

Calculated volume: 22.96 A^3/atom
E_tot: -4.492 eV/atom
Energy above the most stable polymorph in this dataset: 0.000 eV per atom
ΔE_f (raw): 0.40 eV/atom

Cell lengths 4.860, 4.860, 4.860 Å; angles 90.00, 90.00, 90.00 degrees
Fractional positions:
As 0.000 0.500 0.000
As 0.000 0.000 0.500
As 0.500 0.000 0.000
Te 0.500 0.500 0.500
Rh 0.000 0.000 0.000